Entry 1:
## SmHo6Th3 (PBE)

Data for SmHo6Th3 after structural relaxation.

Properties
SG: P2_1/m
Spin magnetization (μB per cell): 0.00
Fermi-level density of states (states/eV/cell): 30.86

abc: 12.969 3.505 14.316
angles: 90.00 100.00 90.00
Element x y z (fractional)
Sm 0.037 0.250 0.225
Sm 0.963 0.750 0.775
Ho 0.126 0.250 0.987
Ho 0.193 0.750 0.427
Ho 0.220 0.750 0.785
Ho 0.271 0.750 0.203
Ho 0.347 0.250 0.619
Ho 0.498 0.250 0.189
Ho 0.502 0.750 0.811
Ho 0.653 0.750 0.381
Ho 0.729 0.250 0.797
Ho 0.780 0.250 0.215
Ho 0.807 0.250 0.573
Ho 0.874 0.750 0.013
Th 0.075 0.250 0.597
Th 0.377 0.750 0.993
Th 0.423 0.250 0.403
Th 0.577 0.750 0.597
Th 0.623 0.250 0.007
Th 0.925 0.750 0.403

---

Entry 2:
## SmHoTh (PBE)

Data for SmHoTh after structural relaxation.

Properties
SG: I4mm
Spin magnetization (μB per cell): 0.00
Fermi-level density of states (states/eV/cell): 8.14

abc: 3.595 3.595 15.063
angles: 90.00 90.00 90.00
Element x y z (fractional)
Sm 0.000 0.000 0.000
Sm 0.500 0.500 0.500
Ho 0.000 0.000 0.679
Ho 0.500 0.500 0.179
Th 0.000 0.000 0.338
Th 0.500 0.500 0.838

---

Entry 3:
## Sm2Ho8Th3 (PBE)

Data for Sm2Ho8Th3 after structural relaxation.

Properties
SG: C2/m
Spin magnetization (μB per cell): 0.00
Fermi-level density of states (states/eV/cell): 21.78

abc: 8.739 8.739 6.600
angles: 98.21 98.21 63.80
Element x y z (fractional)
Sm 0.215 0.215 0.302
Sm 0.785 0.785 0.698
Ho 0.196 0.196 0.791
Ho 0.209 0.566 0.064
Ho 0.419 0.419 0.631
Ho 0.434 0.791 0.936
Ho 0.566 0.209 0.064
Ho 0.581 0.581 0.369
Ho 0.791 0.434 0.936
Ho 0.804 0.804 0.209
Th 0.000 0.000 0.000
Th 0.169 0.831 0.500
Th 0.831 0.169 0.500

---

Entry 4:
## Sm12Ho2Th (PBE)

Data for Sm12Ho2Th after structural relaxation.

Properties
SG: Cmme
Spin magnetization (μB per cell): 0.00
Fermi-level density of states (states/eV/cell): 43.47

abc: 6.773 6.773 24.908
angles: 90.00 90.00 116.77
Element x y z (fractional)
Sm 0.001 0.501 0.127
Sm 0.001 0.999 0.925
Sm 0.017 0.517 0.587
Sm 0.023 0.977 0.440
Sm 0.250 0.250 0.200
Sm 0.250 0.250 0.326
Sm 0.250 0.250 0.674
Sm 0.250 0.250 0.800
Sm 0.477 0.523 0.440
Sm 0.483 0.983 0.587
Sm 0.499 0.501 0.925
Sm 0.499 0.999 0.127
Sm 0.501 0.001 0.873
Sm 0.501 0.499 0.075
Sm 0.517 0.017 0.413
Sm 0.523 0.477 0.560
Sm 0.750 0.750 0.200
Sm 0.750 0.750 0.326
Sm 0.750 0.750 0.674
Sm 0.750 0.750 0.800
Sm 0.977 0.023 0.560
Sm 0.983 0.483 0.413
Sm 0.999 0.001 0.075
Sm 0.999 0.499 0.873
Ho 0.250 0.750 0.271
Ho 0.250 0.750 0.734
Ho 0.750 0.250 0.266
Ho 0.750 0.250 0.729
Th 0.250 0.750 0.001
Th 0.750 0.250 0.999

---

Entry 5:
## SmHo2Th5 (PBE)

Data for SmHo2Th5 after structural relaxation.

Properties
SG: Pbam
Spin magnetization (μB per cell): 0.00
Fermi-level density of states (states/eV/cell): 26.18

abc: 7.149 14.321 5.041
angles: 90.00 90.00 90.00
Element x y z (fractional)
Sm 0.000 0.000 0.000
Sm 0.500 0.500 0.000
Ho 0.247 0.373 0.500
Ho 0.253 0.873 0.500
Ho 0.747 0.127 0.500
Ho 0.753 0.627 0.500
Th 0.000 0.251 0.000
Th 0.000 0.500 0.000
Th 0.000 0.749 0.000
Th 0.246 0.628 0.500
Th 0.254 0.128 0.500
Th 0.500 0.000 0.000
Th 0.500 0.249 0.000
Th 0.500 0.751 0.000
Th 0.746 0.872 0.500
Th 0.754 0.372 0.500

---

Entry 6:
## Sm8Ho3Th (PBE)

Data for Sm8Ho3Th after structural relaxation.

Properties
SG: P1
Spin magnetization (μB per cell): 0.00
Fermi-level density of states (states/eV/cell): 21.24

abc: 6.312 8.560 8.574
angles: 85.05 68.41 68.46
Element x y z (fractional)
Sm 0.000 0.000 0.000
Sm 0.001 0.499 0.500
Sm 0.326 0.174 0.175
Sm 0.327 0.674 0.674
Sm 0.655 0.755 0.255
Sm 0.663 0.252 0.752
Sm 0.988 0.422 0.922
Sm 0.989 0.925 0.426
Ho 0.326 0.588 0.088
Ho 0.651 0.337 0.338
Ho 0.652 0.837 0.837
Th 0.328 0.088 0.589

---

Entry 7:
## Sm10Ho4Th (PBE)

Data for Sm10Ho4Th after structural relaxation.

Properties
SG: I4/m
Spin magnetization (μB per cell): 0.77
Fermi-level density of states (states/eV/cell): 21.63

abc: 8.706 8.706 8.706
angles: 111.56 111.56 105.37
Element x y z (fractional)
Sm 0.043 0.947 0.673
Sm 0.053 0.726 0.096
Sm 0.250 0.750 0.500
Sm 0.274 0.370 0.327
Sm 0.370 0.043 0.096
Sm 0.630 0.957 0.904
Sm 0.726 0.630 0.673
Sm 0.750 0.250 0.500
Sm 0.947 0.274 0.904
Sm 0.957 0.053 0.327
Ho 0.167 0.562 0.729
Ho 0.438 0.167 0.605
Ho 0.562 0.833 0.395
Ho 0.833 0.438 0.271
Th 0.500 0.500 0.000

---

Entry 8:
## SmHo5Th5 (PBE)

Data for SmHo5Th5 after structural relaxation.

Properties
SG: P-6m2
Spin magnetization (μB per cell): 0.00
Fermi-level density of states (states/eV/cell): 17.43

abc: 6.307 6.307 11.157
angles: 90.00 90.00 120.00
Element x y z (fractional)
Sm 0.000 0.000 0.000
Ho 0.000 0.000 0.331
Ho 0.000 0.000 0.669
Ho 0.333 0.667 0.183
Ho 0.333 0.667 0.817
Ho 0.667 0.333 0.000
Th 0.013 0.507 0.500
Th 0.493 0.507 0.500
Th 0.493 0.987 0.500
Th 0.667 0.333 0.269
Th 0.667 0.333 0.731

---

Entry 9:
## Sm3Ho4Th (PBE)

Data for Sm3Ho4Th after structural relaxation.

Properties
SG: Pmn2_1
Spin magnetization (μB per cell): 0.00
Fermi-level density of states (states/eV/cell): 29.63

abc: 11.497 7.235 6.266
angles: 90.00 90.00 90.00
Element x y z (fractional)
Sm 0.000 0.122 0.000
Sm 0.249 0.123 0.330
Sm 0.251 0.877 0.830
Sm 0.500 0.878 0.500
Sm 0.749 0.877 0.830
Sm 0.751 0.123 0.330
Ho 0.000 0.376 0.502
Ho 0.000 0.628 0.003
Ho 0.248 0.625 0.341
Ho 0.252 0.375 0.841
Ho 0.500 0.372 0.503
Ho 0.500 0.624 0.002
Ho 0.748 0.375 0.841
Ho 0.752 0.625 0.341
Th 0.000 0.874 0.505
Th 0.500 0.126 0.005

---

Entry 10:
## SmHo7Th2 (PBE)

Data for SmHo7Th2 after structural relaxation.

Properties
SG: Cmmm
Spin magnetization (μB per cell): 0.00
Fermi-level density of states (states/eV/cell): 13.91

abc: 9.382 9.382 5.494
angles: 90.00 90.00 124.92
Element x y z (fractional)
Sm 0.000 0.000 0.000
Ho 0.065 0.287 0.500
Ho 0.208 0.792 0.000
Ho 0.287 0.065 0.500
Ho 0.500 0.500 0.500
Ho 0.713 0.935 0.500
Ho 0.792 0.208 0.000
Ho 0.935 0.713 0.500
Th 0.295 0.705 0.500
Th 0.705 0.295 0.500

---

Entry 11:
## SmHo4Th3 (PBE)

Data for SmHo4Th3 after structural relaxation.

Properties
SG: C2/m
Spin magnetization (μB per cell): 0.00
Fermi-level density of states (states/eV/cell): 23.57

abc: 7.114 14.184 6.149
angles: 90.00 124.93 90.00
Element x y z (fractional)
Sm 0.000 0.000 0.000
Sm 0.500 0.500 0.000
Ho 0.000 0.253 0.000
Ho 0.000 0.376 0.500
Ho 0.000 0.624 0.500
Ho 0.000 0.747 0.000
Ho 0.500 0.124 0.500
Ho 0.500 0.247 0.000
Ho 0.500 0.753 0.000
Ho 0.500 0.876 0.500
Th 0.000 0.123 0.500
Th 0.000 0.500 0.000
Th 0.000 0.877 0.500
Th 0.500 0.000 0.000
Th 0.500 0.377 0.500
Th 0.500 0.623 0.500

---

Entry 12:
## Sm7Ho4Th (PBE)

Data for Sm7Ho4Th after structural relaxation.

Properties
SG: C2/m
Spin magnetization (μB per cell): 0.00
Fermi-level density of states (states/eV/cell): 16.80

abc: 6.755 6.755 12.715
angles: 115.16 115.16 52.80
Element x y z (fractional)
Sm 0.000 0.000 0.000
Sm 0.209 0.209 0.921
Sm 0.235 0.235 0.676
Sm 0.372 0.372 0.502
Sm 0.628 0.628 0.498
Sm 0.765 0.765 0.324
Sm 0.791 0.791 0.079
Ho 0.067 0.067 0.318
Ho 0.362 0.362 0.224
Ho 0.638 0.638 0.776
Ho 0.933 0.933 0.682
Th 0.500 0.500 0.000

---

Entry 13:
## SmHo2Th (PBE)

Data for SmHo2Th after structural relaxation.

Properties
SG: Fm-3m
Spin magnetization (μB per cell): 0.00
Fermi-level density of states (states/eV/cell): 34.52

abc: 8.028 8.028 8.028
angles: 90.00 90.00 90.00
Element x y z (fractional)
Sm 0.000 0.000 0.000
Sm 0.000 0.500 0.500
Sm 0.500 0.000 0.500
Sm 0.500 0.500 0.000
Ho 0.250 0.250 0.250
Ho 0.250 0.250 0.750
Ho 0.250 0.750 0.250
Ho 0.250 0.750 0.750
Ho 0.750 0.250 0.250
Ho 0.750 0.250 0.750
Ho 0.750 0.750 0.250
Ho 0.750 0.750 0.750
Th 0.000 0.000 0.500
Th 0.000 0.500 0.000
Th 0.500 0.000 0.000
Th 0.500 0.500 0.500

---

Entry 14:
## Sm2Ho8Th (PBE)

Data for Sm2Ho8Th after structural relaxation.

Properties
SG: C2/m
Spin magnetization (μB per cell): 0.00
Fermi-level density of states (states/eV/cell): 17.47

abc: 10.167 10.167 5.554
angles: 93.34 93.34 39.27
Element x y z (fractional)
Sm 0.218 0.218 0.252
Sm 0.782 0.782 0.748
Ho 0.048 0.048 0.232
Ho 0.109 0.632 0.273
Ho 0.316 0.316 0.774
Ho 0.368 0.891 0.727
Ho 0.632 0.109 0.273
Ho 0.684 0.684 0.226
Ho 0.891 0.368 0.727
Ho 0.952 0.952 0.768
Th 0.500 0.500 0.000

---

Entry 15:
## SmHo9Th2 (PBE)

Data for SmHo9Th2 after structural relaxation.

Properties
SG: P4/mmm
Spin magnetization (μB per cell): 0.00
Fermi-level density of states (states/eV/cell): 17.63

abc: 5.007 5.007 15.016
angles: 90.00 90.00 90.00
Element x y z (fractional)
Sm 0.000 0.000 0.000
Ho 0.000 0.500 0.169
Ho 0.000 0.500 0.500
Ho 0.000 0.500 0.831
Ho 0.500 0.000 0.169
Ho 0.500 0.000 0.500
Ho 0.500 0.000 0.831
Ho 0.500 0.500 0.000
Ho 0.500 0.500 0.333
Ho 0.500 0.500 0.667
Th 0.000 0.000 0.334
Th 0.000 0.000 0.666

---

Entry 16:
## Sm3Ho2Th4 (PBE)

Data for Sm3Ho2Th4 after structural relaxation.

Properties
SG: P-1
Spin magnetization (μB per cell): 0.00
Fermi-level density of states (states/eV/cell): 14.00

abc: 6.198 6.207 9.456
angles: 71.22 71.21 60.10
Element x y z (fractional)
Sm 0.000 0.000 0.000
Sm 0.444 0.113 0.669
Sm 0.556 0.887 0.331
Ho 0.224 0.559 0.331
Ho 0.776 0.441 0.669
Th 0.104 0.774 0.669
Th 0.330 0.336 0.001
Th 0.670 0.664 0.999
Th 0.896 0.226 0.331

---

Entry 17:
## Sm3Ho6Th (PBE)

Data for Sm3Ho6Th after structural relaxation.

Properties
SG: P2_1/m
Spin magnetization (μB per cell): 0.00
Fermi-level density of states (states/eV/cell): 27.60

abc: 13.030 3.524 14.277
angles: 90.00 100.33 90.00
Element x y z (fractional)
Sm 0.076 0.250 0.101
Sm 0.373 0.750 0.497
Sm 0.422 0.250 0.902
Sm 0.578 0.750 0.098
Sm 0.627 0.250 0.503
Sm 0.924 0.750 0.899
Ho 0.120 0.250 0.486
Ho 0.191 0.750 0.921
Ho 0.220 0.750 0.287
Ho 0.271 0.750 0.699
Ho 0.345 0.250 0.121
Ho 0.498 0.750 0.309
Ho 0.502 0.250 0.691
Ho 0.655 0.750 0.879
Ho 0.729 0.250 0.301
Ho 0.780 0.250 0.713
Ho 0.809 0.250 0.079
Ho 0.880 0.750 0.514
Th 0.042 0.250 0.722
Th 0.958 0.750 0.278

---

Entry 18:
## Sm3Ho6Th (PBE)

Data for Sm3Ho6Th after structural relaxation.

Properties
SG: R32
Spin magnetization (μB per cell): 0.00
Fermi-level density of states (states/eV/cell): 19.67

abc: 6.906 6.906 6.906
angles: 91.11 91.11 91.11
Element x y z (fractional)
Sm 0.000 0.000 0.000
Sm 0.243 0.243 0.243
Sm 0.757 0.757 0.757
Ho 0.000 0.668 0.332
Ho 0.172 0.500 0.828
Ho 0.332 0.000 0.668
Ho 0.500 0.828 0.172
Ho 0.668 0.332 0.000
Ho 0.828 0.172 0.500
Th 0.500 0.500 0.500

---

Entry 19:
## Sm2Ho3Th2 (PBE)

Data for Sm2Ho3Th2 after structural relaxation.

Properties
SG: C2/m
Spin magnetization (μB per cell): 0.00
Fermi-level density of states (states/eV/cell): 18.13

abc: 15.502 3.589 8.709
angles: 90.00 111.22 90.00
Element x y z (fractional)
Sm 0.217 0.000 0.142
Sm 0.283 0.500 0.858
Sm 0.717 0.500 0.142
Sm 0.783 0.000 0.858
Ho 0.000 0.500 0.000
Ho 0.138 0.500 0.435
Ho 0.362 0.000 0.565
Ho 0.500 0.000 0.000
Ho 0.638 0.000 0.435
Ho 0.862 0.500 0.565
Th 0.069 0.000 0.712
Th 0.431 0.500 0.288
Th 0.569 0.500 0.712
Th 0.931 0.000 0.288

---

Entry 20:
## SmHo2Th4 (PBE)

Data for SmHo2Th4 after structural relaxation.

Properties
SG: P4_2/mnm
Spin magnetization (μB per cell): 0.00
Fermi-level density of states (states/eV/cell): 22.13

abc: 9.322 9.322 5.559
angles: 90.00 90.00 90.00
Element x y z (fractional)
Sm 0.000 0.000 0.000
Sm 0.500 0.500 0.500
Ho 0.183 0.183 0.500
Ho 0.317 0.683 0.000
Ho 0.683 0.317 0.000
Ho 0.817 0.817 0.500
Th 0.120 0.377 0.000
Th 0.123 0.620 0.500
Th 0.377 0.120 0.000
Th 0.380 0.877 0.500
Th 0.620 0.123 0.500
Th 0.623 0.880 0.000
Th 0.877 0.380 0.500
Th 0.880 0.623 0.000

---

Number 1: formation energy from the elements 0.07 eV/atom. Number 2: formation energy from the elements 0.03 eV/atom. Number 3: formation energy from the elements 0.27 eV/atom. Number 4: formation energy from the elements 0.18 eV/atom. Number 5: formation energy from the elements 0.06 eV/atom. Number 6: formation energy from the elements 0.04 eV/atom. Number 7: formation energy from the elements 0.36 eV/atom. Number 8: formation energy from the elements 0.37 eV/atom. Number 9: formation energy from the elements 0.04 eV/atom. Number 10: formation energy from the elements 0.77 eV/atom. Number 11: formation energy from the elements 0.05 eV/atom. Number 12: formation energy from the elements 0.29 eV/atom. Number 13: formation energy from the elements 0.14 eV/atom. Number 14: formation energy from the elements 0.19 eV/atom. Number 15: formation energy from the elements 0.03 eV/atom. Number 16: formation energy from the elements 0.06 eV/atom. Number 17: formation energy from the elements 0.08 eV/atom. Number 18: formation energy from the elements 0.31 eV/atom. Number 19: formation energy from the elements 0.03 eV/atom. Number 20: formation energy from the elements 0.31 eV/atom.